DFT (PBE-GGA) results for a relaxed structure of LaSmNi2As2.

For the mass density, the calculation gives 7.76 g/cm³. As for the total energy: -36.5 eV for the cell shown. The value obtained for the total magnetic moment is 0.0 μB/cell.

a b c (Å): 4.1394 4.1394 8.0244
angles (deg): 90.00 90.00 120.00
Last column: nearest neighbours and their distance in Å.
Space group P-3m1 (No. 164)
Unique sites:
La (0.0000, 0.0000, 0.0000)  6 Ni 3.14, 6 As 3.17
Sm (0.0000, 0.0000, 0.5000)  6 As 3.07, 6 Ni 3.10
Ni (0.3333, 0.6667, 0.7453)  3 As 2.39
As (0.3333, 0.6667, 0.2598)  3 Ni 2.39

DFT (PBE-GGA) results for a relaxed structure of LaNi2SnAs.

For the mass density, the calculation gives 7.82 g/cm³. As for the total energy: -56.5 eV for the cell shown. The value obtained for the total magnetic moment is 0.0 μB/cell.

a b c (Å): 4.4297 4.4297 9.7367
angles (deg): 90.00 90.00 90.00
Last column: nearest neighbours and their distance in Å.
Space group P4/nmm (No. 129, origin choice 2)
Unique sites:
La (0.2500, 0.2500, 0.2391)  4 As 3.21, 9 Ni 3.30-3.41, 4 Sn 3.37
Ni (0.2500, 0.2500, 0.9005)  4 As 2.42, 1 Sn 2.61
Ni (0.2500, 0.7500, 0.5000)  4 Sn 2.56
Sn (0.2500, 0.2500, 0.6325)  5 Ni 2.56-2.61
As (0.2500, 0.7500, 0.0000)  4 Ni 2.42

DFT (PBE-GGA) results for a relaxed structure of SrLaNi2As2.

For the mass density, the calculation gives 6.49 g/cm³. As for the total energy: -32.8 eV for the cell shown. The value obtained for the total magnetic moment is 0.0 μB/cell.

a b c (Å): 4.1386 4.1386 8.5203
angles (deg): 90.00 90.00 120.00
Last column: nearest neighbours and their distance in Å.
Space group P-3m1 (No. 164)
Unique sites:
Sr (0.0000, 0.0000, 0.0000)  6 As 3.25, 6 Ni 3.27
La (0.0000, 0.0000, 0.5000)  6 Ni 3.13, 6 As 3.15
Ni (0.3333, 0.6667, 0.2627)  3 As 2.39
As (0.3333, 0.6667, 0.7416)  3 Ni 2.39

DFT (PBE-GGA) results for a relaxed structure of LaTbNi2As2.

For the mass density, the calculation gives 8.01 g/cm³. As for the total energy: -36.5 eV for the cell shown. The value obtained for the total magnetic moment is 0.0 μB/cell.

a b c (Å): 4.1220 4.1220 7.9580
angles (deg): 90.00 90.00 120.00
Last column: nearest neighbours and their distance in Å.
Space group P-3m1 (No. 164)
Unique sites:
La (0.0000, 0.0000, 0.0000)  6 Ni 3.15, 6 As 3.18
Tb (0.0000, 0.0000, 0.5000)  6 As 3.03, 6 Ni 3.06
Ni (0.3333, 0.6667, 0.7411)  3 As 2.38
As (0.3333, 0.6667, 0.2646)  3 Ni 2.38

DFT (PBE-GGA) results for a relaxed structure of LaNpAs.

The polymorph energy (0 for the lowest one) is 0.00 eV per formula unit. For the mass density, the calculation gives 8.56 g/cm³. The value obtained for the total magnetic moment is 21.2 μB/cell.

a b c (Å): 7.0456 7.0456 7.0456
angles (deg): 90.00 90.00 90.00
Last column: nearest neighbours and their distance in Å.
Space group F-43m (No. 216)
Unique sites:
La (0.0000, 0.0000, 0.0000)  4 As 3.05
Np (0.0000, 0.0000, 0.5000)  4 As 3.05
As (0.2500, 0.2500, 0.2500)  4 La 3.05, 4 Np 3.05

DFT (PBE-GGA) results for a relaxed structure of LaAsOsO.

For the mass density, the calculation gives 10.03 g/cm³. As for the total energy: -61.0 eV for the cell shown. The value obtained for the total magnetic moment is 0.2 μB/cell.

a b c (Å): 4.2778 4.3324 7.5057
angles (deg): 90.00 90.00 90.00
Last column: nearest neighbours and their distance in Å.
Space group Pmc2_1 (No. 26)
Unique sites:
La (0.0000, 0.2458, 0.0000)  3 O 2.47-2.56
As (0.5000, 0.2555, 0.6701)  3 Os 2.48-2.54
Os (0.5000, 0.2359, 0.3387)  2 O 2.14
O (0.0000, 0.2667, 0.3298)  2 Os 2.14